[1]
DFT (PBE) results for a relaxed structure of RbBrO3.

Calculated values
For the final energy, the calculation gives -4.127 eV per atom. The calculation puts the density of states at the Fermi level at 0.0 states/eV per cell. As for the formation energy from raw total energies: -624 meV/atom. The magnetization comes out at 0.00 μB/atom.

Cell: 4.619 4.619 4.619 Å, 85.83 85.83 85.83°
Fractional positions:
O 0.534 0.534 0.108
O 0.108 0.534 0.534
O 0.534 0.108 0.534
Br 0.471 0.471 0.471
Rb 0.990 0.990 0.990


[2]
DFT (PBE) results for a relaxed structure of RbBrO4.

Calculated values
For the final energy, the calculation gives -3.723 eV per atom. The calculation puts the density of states at the Fermi level at 4.8 states/eV per cell. As for the formation energy from raw total energies: 23 meV/atom. The magnetization comes out at 0.29 μB/atom.

Cell: 3.863 6.733 8.248 Å, 90.00 103.54 90.00°
Fractional positions:
Rb 0.374 0.750 0.747
Rb 0.626 0.250 0.253
Br 0.114 0.750 0.228
Br 0.886 0.250 0.772
O 0.179 0.558 0.358
O 0.821 0.442 0.642
O 0.179 0.942 0.358
O 0.821 0.058 0.642
O 0.572 0.750 0.144
O 0.428 0.250 0.856
O 0.000 0.500 0.000
O 0.000 0.000 0.000